CaYAg2: single point on PBEsol structure, meta-GGA SCAN.

Summary:
The value obtained for the formation energy is -142 kJ/mol of formula units. As for the offset from the most stable computed form: 0.000 eV per formula unit. Its density is 6.09 Mg/m³. As for the space group: P4/mmm (123). The density of states at the Fermi level is 2.68 states/eV per cell. Its magnetic moment is 0.00 μB per cell.

abc: 3.582 3.582 7.325
angles: 90.00 90.00 90.00
Sites, in units of the cell vectors:
Ca 0.000 0.000 0.000
Y 0.000 0.000 0.500
Ag 0.500 0.500 0.270
Ag 0.500 0.500 0.730



Ca2Zn2Ag: single point on PBEsol structure, meta-GGA SCAN.

Summary:
The value obtained for the formation energy is -64 kJ/mol of formula units. As for the offset from the most stable computed form: 0.528 eV per formula unit. Its density is 4.49 Mg/m³. As for the space group: I4/mmm (139). The density of states at the Fermi level is 2.62 states/eV per cell. Its magnetic moment is 0.00 μB per cell.

abc: 9.208 9.208 9.208
angles: 157.13 157.13 32.56
Sites, in units of the cell vectors:
Ca 0.103 0.103 0.000
Ca 0.897 0.897 0.000
Zn 0.250 0.750 0.500
Zn 0.750 0.250 0.500
Ag 0.500 0.500 0.000



CaZnAg: single point on PBEsol structure, meta-GGA SCAN.

Summary:
The value obtained for the formation energy is -88 kJ/mol of formula units. Its density is 5.44 Mg/m³. As for the space group: P-6m2 (187). The density of states at the Fermi level is 1.58 states/eV per cell. Its magnetic moment is 0.00 μB per cell.

abc: 4.517 4.517 3.683
angles: 90.00 90.00 120.00
Sites, in units of the cell vectors:
Ca 0.000 0.000 0.000
Zn 0.667 0.333 0.500
Ag 0.333 0.667 0.500



CaZnAg2: single point on PBEsol structure, meta-GGA SCAN.

Summary:
The value obtained for the formation energy is -54 kJ/mol of formula units. Its density is 6.95 Mg/m³. As for the space group: Pmmm (47). The density of states at the Fermi level is 1.34 states/eV per cell. Its magnetic moment is 0.00 μB per cell.

abc: 3.258 3.485 6.760
angles: 90.00 90.00 90.00
Sites, in units of the cell vectors:
Ca 0.000 0.000 0.000
Zn 0.000 0.000 0.500
Ag 0.500 0.500 0.295
Ag 0.500 0.500 0.705



CaZnAg4: single point on PBEsol structure, meta-GGA SCAN.

Summary:
The value obtained for the formation energy is -57 kJ/mol of formula units. Its density is 7.78 Mg/m³. As for the space group: F-43m (216). The density of states at the Fermi level is 2.86 states/eV per cell. Its magnetic moment is 0.00 μB per cell.

abc: 5.452 5.452 5.452
angles: 60.00 60.00 60.00
Sites, in units of the cell vectors:
Ca 0.000 0.000 0.000
Zn 0.750 0.750 0.750
Ag 0.375 0.375 0.375
Ag 0.375 0.375 0.874
Ag 0.375 0.874 0.375
Ag 0.874 0.375 0.375



Ca2Zn3Ag: single point on PBEsol structure, meta-GGA SCAN.

Summary:
The value obtained for the formation energy is -199 kJ/mol of formula units. Its density is 5.18 Mg/m³. As for the space group: Cm (8). The density of states at the Fermi level is 3.22 states/eV per cell. Its magnetic moment is 0.00 μB per cell.

abc: 5.683 5.683 7.261
angles: 129.57 129.57 46.97
Sites, in units of the cell vectors:
Ca 0.000 0.000 0.000
Ca 0.106 0.106 0.608
Zn 0.381 0.381 0.563
Zn 0.396 0.396 0.209
Zn 0.718 0.718 0.408
Ag 0.714 0.714 0.025



CaZn2Ag: single point on PBEsol structure, meta-GGA SCAN.

Summary:
The value obtained for the formation energy is -91 kJ/mol of formula units. Its density is 5.67 Mg/m³. As for the space group: R3m (160). The density of states at the Fermi level is 1.52 states/eV per cell. Its magnetic moment is 0.00 μB per cell.

abc: 5.513 5.513 5.513
angles: 46.92 46.92 46.92
Sites, in units of the cell vectors:
Ca 0.000 0.000 0.000
Zn 0.488 0.488 0.488
Zn 0.796 0.796 0.796
Ag 0.204 0.204 0.204



CaZn2Ag: single point on PBEsol structure, meta-GGA SCAN.

Summary:
The value obtained for the formation energy is -54 kJ/mol of formula units. Its density is 6.14 Mg/m³. As for the space group: P4/mmm (123). The density of states at the Fermi level is 1.37 states/eV per cell. Its magnetic moment is 0.00 μB per cell.

abc: 3.348 3.348 6.728
angles: 90.00 90.00 90.00
Sites, in units of the cell vectors:
Ca 0.000 0.000 0.000
Zn 0.500 0.500 0.297
Zn 0.500 0.500 0.703
Ag 0.000 0.000 0.500



CaZnAg: single point on PBEsol structure, meta-GGA SCAN.

Summary:
The value obtained for the formation energy is -96 kJ/mol of formula units. Its density is 5.61 Mg/m³. As for the space group: C2/m (12). The density of states at the Fermi level is 3.16 states/eV per cell. Its magnetic moment is 0.00 μB per cell.

abc: 5.731 5.731 7.165
angles: 128.40 128.40 46.89
Sites, in units of the cell vectors:
Ca 0.051 0.051 0.304
Ca 0.949 0.949 0.696
Zn 0.341 0.341 0.897
Zn 0.659 0.659 0.103
Ag 0.329 0.329 0.267
Ag 0.671 0.671 0.733



CaZnAg: single point on PBEsol structure, meta-GGA SCAN.

Summary:
The value obtained for the formation energy is -66 kJ/mol of formula units. Its density is 5.78 Mg/m³. As for the space group: I4mm (107). The density of states at the Fermi level is 1.25 states/eV per cell. Its magnetic moment is 0.00 μB per cell.

abc: 5.613 5.613 5.613
angles: 143.83 143.83 52.08
Sites, in units of the cell vectors:
Ca 0.000 0.000 0.000
Zn 0.309 0.309 0.000
Ag 0.695 0.695 0.000



Ca2ZnAg2: single point on PBEsol structure, meta-GGA SCAN.

Summary:
The value obtained for the formation energy is -119 kJ/mol of formula units. Its density is 5.18 Mg/m³. As for the space group: P4/mbm (127). The density of states at the Fermi level is 4.53 states/eV per cell. Its magnetic moment is 0.00 μB per cell.

abc: 7.377 7.377 4.256
angles: 90.00 90.00 90.00
Sites, in units of the cell vectors:
Ca 0.174 0.326 0.000
Ca 0.326 0.826 0.000
Ca 0.674 0.174 0.000
Ca 0.826 0.674 0.000
Zn 0.000 0.000 0.500
Zn 0.500 0.500 0.500
Ag 0.132 0.632 0.500
Ag 0.368 0.132 0.500
Ag 0.632 0.868 0.500
Ag 0.868 0.368 0.500



Ca2Zn2Ag: single point on PBEsol structure, meta-GGA SCAN.

Summary:
The value obtained for the formation energy is -115 kJ/mol of formula units. As for the offset from the most stable computed form: 0.000 eV per formula unit. Its density is 4.71 Mg/m³. As for the space group: P4/mbm (127). The density of states at the Fermi level is 6.62 states/eV per cell. Its magnetic moment is 0.00 μB per cell.

abc: 7.250 7.250 4.275
angles: 90.00 90.00 90.00
Sites, in units of the cell vectors:
Ca 0.179 0.321 0.000
Ca 0.321 0.821 0.000
Ca 0.679 0.179 0.000
Ca 0.821 0.679 0.000
Zn 0.123 0.623 0.500
Zn 0.377 0.123 0.500
Zn 0.623 0.877 0.500
Zn 0.877 0.377 0.500
Ag 0.000 0.000 0.500
Ag 0.500 0.500 0.500



CaZn2Ag: single point on PBEsol structure, meta-GGA SCAN.

Summary:
The value obtained for the formation energy is -26 kJ/mol of formula units. Its density is 5.99 Mg/m³. As for the space group: P4/mmm (123). The density of states at the Fermi level is 1.65 states/eV per cell. Its magnetic moment is 0.00 μB per cell.

abc: 4.218 4.218 4.343
angles: 90.00 90.00 90.00
Sites, in units of the cell vectors:
Ca 0.000 0.000 0.000
Zn 0.000 0.500 0.500
Zn 0.500 0.000 0.500
Ag 0.500 0.500 0.000



Ca4ZnAg3: single point on PBEsol structure, meta-GGA SCAN.

Summary:
The value obtained for the formation energy is -256 kJ/mol of formula units. Its density is 4.47 Mg/m³. As for the space group: Pmm2 (25). The density of states at the Fermi level is 4.79 states/eV per cell. Its magnetic moment is 0.00 μB per cell.

abc: 3.997 4.542 11.237
angles: 90.00 90.00 90.00
Sites, in units of the cell vectors:
Ca 0.000 0.000 0.000
Ca 0.000 0.500 0.287
Ca 0.500 0.000 0.500
Ca 0.500 0.500 0.787
Zn 0.000 0.500 0.576
Ag 0.000 0.000 0.710
Ag 0.500 0.000 0.217
Ag 0.500 0.500 0.069



CaZn2Ag: single point on PBEsol structure, meta-GGA SCAN.

Summary:
The value obtained for the formation energy is -85 kJ/mol of formula units. Its density is 5.70 Mg/m³. As for the space group: R-3m (166). The density of states at the Fermi level is 1.40 states/eV per cell. Its magnetic moment is 0.00 μB per cell.

abc: 5.448 5.448 5.448
angles: 47.79 47.79 47.79
Sites, in units of the cell vectors:
Ca 0.000 0.000 0.000
Zn 0.206 0.206 0.206
Zn 0.794 0.794 0.794
Ag 0.500 0.500 0.500



CaZnAg2: single point on PBEsol structure, meta-GGA SCAN.

Summary:
The value obtained for the formation energy is -56 kJ/mol of formula units. Its density is 7.03 Mg/m³. As for the space group: I-4m2 (119). The density of states at the Fermi level is 1.62 states/eV per cell. Its magnetic moment is 0.00 μB per cell.

abc: 5.069 5.069 5.069
angles: 129.37 129.37 74.42
Sites, in units of the cell vectors:
Ca 0.000 0.000 0.000
Zn 0.750 0.250 0.500
Ag 0.250 0.750 0.500
Ag 0.500 0.500 0.000



CaZrAg2: single point on PBEsol structure, meta-GGA SCAN.

Summary:
The value obtained for the formation energy is 50 kJ/mol of formula units. Its density is 6.94 Mg/m³. As for the space group: I-4m2 (119). The density of states at the Fermi level is 3.35 states/eV per cell. Its magnetic moment is 1.17 μB per cell.

abc: 5.578 5.578 5.578
angles: 135.88 135.88 64.17
Sites, in units of the cell vectors:
Ca 0.000 0.000 0.000
Zr 0.750 0.250 0.500
Ag 0.250 0.750 0.500
Ag 0.500 0.500 0.000



CaZrAg2: single point on PBEsol structure, meta-GGA SCAN.

Summary:
The value obtained for the formation energy is -45 kJ/mol of formula units. Its density is 6.91 Mg/m³. As for the space group: Cmmm (65). The density of states at the Fermi level is 3.11 states/eV per cell. Its magnetic moment is 0.00 μB per cell.

abc: 5.154 5.154 3.142
angles: 90.00 90.00 90.13
Sites, in units of the cell vectors:
Ca 0.000 0.000 0.000
Zr 0.500 0.500 0.000
Ag 0.000 0.500 0.500
Ag 0.500 0.000 0.500



CaZr2Ag: single point on PBEsol structure, meta-GGA SCAN.

Summary:
The value obtained for the formation energy is 15 kJ/mol of formula units. Its density is 5.98 Mg/m³. As for the space group: Immm (71). The density of states at the Fermi level is 3.23 states/eV per cell. Its magnetic moment is 0.00 μB per cell.

abc: 6.411 6.411 6.411
angles: 150.93 133.89 55.44
Sites, in units of the cell vectors:
Ca 0.000 0.000 0.000
Zr 0.281 0.781 0.500
Zr 0.719 0.219 0.500
Ag 0.500 0.500 0.000



CaZrAg3: single point on PBEsol structure, meta-GGA SCAN.

Summary:
The value obtained for the formation energy is 473 kJ/mol of formula units. Its density is 6.28 Mg/m³. As for the space group: Pm-3m (221). The density of states at the Fermi level is 3.33 states/eV per cell. Its magnetic moment is 1.73 μB per cell.

abc: 4.936 4.936 4.936
angles: 90.00 90.00 90.00
Sites, in units of the cell vectors:
Ca 0.000 0.000 0.000
Zr 0.500 0.500 0.500
Ag 0.000 0.000 0.500
Ag 0.000 0.500 0.000
Ag 0.500 0.000 0.000



Ca4ZrAg: single point on PBEsol structure, meta-GGA SCAN.

Summary:
The value obtained for the formation energy is 396 kJ/mol of formula units. Its density is 3.18 Mg/m³. As for the space group: F-43m (216). The density of states at the Fermi level is 5.60 states/eV per cell. Its magnetic moment is 3.81 μB per cell.

abc: 6.423 6.423 6.423
angles: 60.00 60.00 60.00
Sites, in units of the cell vectors:
Ca 0.125 0.125 0.125
Ca 0.125 0.125 0.624
Ca 0.125 0.624 0.125
Ca 0.624 0.125 0.125
Zr 0.500 0.500 0.500
Ag 0.750 0.750 0.750



CaZr2Ag: single point on PBEsol structure, meta-GGA SCAN.

Summary:
The value obtained for the formation energy is 123 kJ/mol of formula units. Its density is 6.19 Mg/m³. As for the space group: I-4m2 (119). The density of states at the Fermi level is 4.92 states/eV per cell. Its magnetic moment is 1.71 μB per cell.

abc: 5.443 5.443 5.443
angles: 131.48 131.48 71.05
Sites, in units of the cell vectors:
Ca 0.000 0.000 0.000
Zr 0.500 0.500 0.000
Zr 0.750 0.250 0.500
Ag 0.250 0.750 0.500



Cd2Ag3: single point on PBEsol structure, meta-GGA SCAN.

Summary:
The value obtained for the formation energy is -21 kJ/mol of formula units. As for the offset from the most stable computed form: 0.063 eV per formula unit. Its density is 9.52 Mg/m³. As for the space group: Fdd2 (43). The density of states at the Fermi level is 2.58 states/eV per cell. Its magnetic moment is 0.00 μB per cell.

abc: 7.582 5.682 8.671
angles: 59.51 40.23 80.26
Sites, in units of the cell vectors:
Cd 0.018 0.482 0.082
Cd 0.168 0.832 0.232
Cd 0.482 0.018 0.418
Cd 0.832 0.168 0.768
Ag 0.073 0.073 0.927
Ag 0.323 0.323 0.177
Ag 0.479 0.589 0.322
Ag 0.589 0.479 0.611
Ag 0.639 0.928 0.661
Ag 0.928 0.639 0.771



CdAg: single point on PBEsol structure, meta-GGA SCAN.

Summary:
The value obtained for the formation energy is -5 kJ/mol of formula units. Its density is 10.13 Mg/m³. As for the space group: Fd-3m (227). The density of states at the Fermi level is 1.20 states/eV per cell. Its magnetic moment is 0.00 μB per cell.

abc: 4.675 4.675 4.675
angles: 60.00 60.00 60.00
Sites, in units of the cell vectors:
Cd 0.125 0.125 0.125
Cd 0.875 0.875 0.875
Ag 0.375 0.375 0.375
Ag 0.625 0.625 0.625



Cd3Ag5: single point on PBEsol structure, meta-GGA SCAN.

Summary:
The value obtained for the formation energy is 13 kJ/mol of formula units. As for the offset from the most stable computed form: 0.601 eV per formula unit. Its density is 10.03 Mg/m³. As for the space group: C2/m (12). The density of states at the Fermi level is 4.71 states/eV per cell. Its magnetic moment is 0.00 μB per cell.

abc: 7.838 7.838 7.789
angles: 95.97 95.97 140.41
Sites, in units of the cell vectors:
Cd 0.166 0.834 0.000
Cd 0.232 0.768 0.500
Cd 0.233 0.233 0.668
Cd 0.767 0.767 0.332
Cd 0.768 0.232 0.500
Cd 0.834 0.166 0.000
Ag 0.156 0.348 0.356
Ag 0.226 0.570 0.812
Ag 0.273 0.273 0.043
Ag 0.348 0.156 0.356
Ag 0.430 0.774 0.188
Ag 0.570 0.226 0.812
Ag 0.652 0.844 0.644
Ag 0.727 0.727 0.957
Ag 0.774 0.430 0.188
Ag 0.844 0.652 0.644



Cd2Ag: single point on PBEsol structure, meta-GGA SCAN.

Summary:
The value obtained for the formation energy is 15 kJ/mol of formula units. As for the offset from the most stable computed form: 0.327 eV per formula unit. Its density is 8.32 Mg/m³. As for the space group: Fm-3m (225). The density of states at the Fermi level is 1.04 states/eV per cell. Its magnetic moment is 0.00 μB per cell.

abc: 4.545 4.545 4.545
angles: 60.00 60.00 60.00
Sites, in units of the cell vectors:
Cd 0.250 0.250 0.250
Cd 0.750 0.750 0.750
Ag 0.000 0.000 0.000



CdAg3: single point on PBEsol structure, meta-GGA SCAN.

Summary:
The value obtained for the formation energy is -15 kJ/mol of formula units. Its density is 10.50 Mg/m³. As for the space group: Pmmm (47). The density of states at the Fermi level is 0.90 states/eV per cell. Its magnetic moment is 0.00 μB per cell.

abc: 2.965 4.016 5.791
angles: 90.00 90.00 90.00
Sites, in units of the cell vectors:
Cd 0.000 0.000 0.000
Ag 0.000 0.000 0.500
Ag 0.500 0.500 0.254
Ag 0.500 0.500 0.746



Cd4Ag3: single point on PBEsol structure, meta-GGA SCAN.

Summary:
The value obtained for the formation energy is 9 kJ/mol of formula units. As for the offset from the most stable computed form: 0.290 eV per formula unit. Its density is 9.57 Mg/m³. As for the space group: P6/mmm (191). The density of states at the Fermi level is 2.84 states/eV per cell. Its magnetic moment is 0.00 μB per cell.

abc: 5.397 5.397 5.321
angles: 90.00 90.00 120.00
Sites, in units of the cell vectors:
Cd 0.000 0.000 0.247
Cd 0.000 0.000 0.753
Cd 0.333 0.667 0.000
Cd 0.667 0.333 0.000
Ag 0.000 0.500 0.500
Ag 0.500 0.000 0.500
Ag 0.500 0.500 0.500